No. 1
Below is a relaxed MgTaIn2 crystal, with properties calculated at the PBE level.

Results
density = 8.5 g/cm³
energy of formation = 10.2 kJ per mole of atoms
energy = -4.63 eV/atom
Fermi-level density of states = 1.70 states/eV/cell

Cell: 9.980 9.980 9.980 Å, 18.23 18.23 18.23°
Sites, in units of the cell vectors:
In: 0.001 0.001 0.001
In: 0.499 0.499 0.499
Ta: 0.750 0.750 0.750
Mg: 0.250 0.250 0.250

---

No. 2
Below is a relaxed Mg2TaIn crystal, with properties calculated at the PBE level.

Results
density = 7.0 g/cm³
energy of formation = 22.2 kJ per mole of atoms
energy = -4.22 eV/atom
Fermi-level density of states = 2.88 states/eV/cell

Cell: 3.063 4.355 6.144 Å, 90.00 90.00 90.00°
Sites, in units of the cell vectors:
Mg: 0.000 0.000 0.008
In: 0.500 0.500 0.734
Mg: 0.500 0.500 0.258
Ta: 0.000 0.000 0.499

---

No. 3
Below is a relaxed MgTa2In crystal, with properties calculated at the PBE level.

Results
density = 10.8 g/cm³
energy of formation = 21.7 kJ per mole of atoms
energy = -6.79 eV/atom
Fermi-level density of states = 2.74 states/eV/cell

Cell: 4.651 2.894 6.191 Å, 67.31 90.00 90.00°
Sites, in units of the cell vectors:
Mg: 0.500 0.750 0.750
Ta: 0.000 0.004 0.994
Ta: 0.000 0.496 0.506
In: 0.500 0.250 0.250

---

No. 4
Below is a relaxed MgTaIn2 crystal, with properties calculated at the PBE level.

Results
density = 8.3 g/cm³
energy of formation = 19.6 kJ per mole of atoms
energy = -4.53 eV/atom
Fermi-level density of states = 2.17 states/eV/cell

Cell: 10.233 10.233 10.233 Å, 17.77 17.77 17.77°
Sites, in units of the cell vectors:
In: 0.004 0.004 0.004
In: 0.249 0.249 0.249
Ta: 0.751 0.751 0.751
Mg: 0.496 0.496 0.496

---

No. 5
Below is a relaxed MgTa2In crystal, with properties calculated at the PBE level.

Results
density = 10.4 g/cm³
energy of formation = 25.8 kJ per mole of atoms
energy = -6.74 eV/atom
Fermi-level density of states = 4.69 states/eV/cell

Cell: 10.281 10.281 10.281 Å, 16.88 16.88 16.88°
Sites, in units of the cell vectors:
Ta: 0.251 0.251 0.251
Mg: 0.749 0.749 0.749
In: 0.501 0.501 0.501
Ta: 0.999 0.999 0.999

---

No. 6
Below is a relaxed Mg2TaIn crystal, with properties calculated at the PBE level.

Results
density = 7.1 g/cm³
energy of formation = 24.8 kJ per mole of atoms
energy = -4.19 eV/atom
Fermi-level density of states = 2.56 states/eV/cell

Cell: 3.174 5.025 5.082 Å, 90.00 90.00 90.00°
Sites, in units of the cell vectors:
Ta: 0.500 0.000 0.500
In: 0.000 0.500 0.500
Mg: 0.500 0.500 0.000
Mg: 0.000 0.000 0.000

---

No. 7
Below is a relaxed MgTaIn2 crystal, with properties calculated at the PBE level.

Results
density = 8.3 g/cm³
energy of formation = 30.5 kJ per mole of atoms
energy = -4.42 eV/atom
Fermi-level density of states = 2.34 states/eV/cell

Cell: 3.042 5.498 5.178 Å, 90.00 90.00 90.00°
Sites, in units of the cell vectors:
Ta: 0.000 0.500 0.500
In: 0.000 0.000 0.000
Mg: 0.500 0.000 0.500
In: 0.500 0.500 0.000

---

No. 8
Below is a relaxed MgTaIn2 crystal, with properties calculated at the PBE level.

Results
density = 8.7 g/cm³
energy of formation = 12.1 kJ per mole of atoms
energy = -4.61 eV/atom
Fermi-level density of states = 1.35 states/eV/cell

Cell: 5.827 5.827 5.266 Å, 66.27 66.27 30.82°
Sites, in units of the cell vectors:
In: 0.992 0.992 0.098
In: 0.751 0.751 0.669
Mg: 0.508 0.508 0.576
Ta: 0.249 0.249 0.158